A plane-wave DFT calculation with GGA-PBE was carried out for a relaxed Ag2Bi2S crystal.

a b c (Å): 7.906 7.906 4.032
angles (deg): 90.00 90.00 90.00
Sites, in units of the cell vectors:
1 Ag 0.123 0.377 0.000
2 Ag 0.377 0.877 0.000
3 Ag 0.623 0.123 0.000
4 Ag 0.877 0.623 0.000
5 Bi 0.184 0.684 0.500
6 Bi 0.316 0.184 0.500
7 Bi 0.684 0.816 0.500
8 Bi 0.816 0.316 0.500
9 S 0.000 0.000 0.500
10 S 0.500 0.500 0.500

## Properties
Fermi-level density of states, states/eV/f.u.: 2.59
Symmetry: P4/mbm, No. 127
E_form (uncorrected), eV/atom: 0.18